Here is a geometry-optimized NaCu3OsSe4 structure from OQMD. Energies are from PBE.

CIF file:
```
data_NaCu3OsSe4
_symmetry_space_group_name_H-M 'P -4 3 m'
_symmetry_Int_Tables_number 215
_symmetry_space_group_name_Hall 'P -4 2 3'
_cell_length_a 5.899
_cell_length_b 5.899
_cell_length_c 5.899
_cell_angle_alpha 90.00
_cell_angle_beta 90.00
_cell_angle_gamma 90.00
loop_
_atom_site_label
_atom_site_fract_x
_atom_site_fract_y
_atom_site_fract_z
Na1 0.000 0.000 0.000
Cu1 0.000 0.500 0.500
Os1 0.500 0.500 0.500
Se1 0.266 0.266 0.266
```

Computed properties:
* magnetic moment: 1.02 μB per formula unit
* E_tot: -4.22 eV per atom

Here is a geometry-optimized NaCuOsSe3 structure from OQMD. Energies are from PBE.

CIF file:
```
data_NaCuOsSe3
_symmetry_space_group_name_H-M 'C m c m'
_symmetry_Int_Tables_number 63
_symmetry_space_group_name_Hall '-C 2c 2'
_cell_length_a 3.762
_cell_length_b 13.238
_cell_length_c 9.641
_cell_angle_alpha 90.00
_cell_angle_beta 90.00
_cell_angle_gamma 90.00
loop_
_atom_site_label
_atom_site_fract_x
_atom_site_fract_y
_atom_site_fract_z
Na1 0.000 0.238 0.250
Cu1 0.000 0.459 0.750
Os1 0.000 0.000 0.000
Se1 0.000 0.078 0.750
Se2 0.000 0.373 0.535
```

Computed properties:
* magnetic moment: 0.02 μB per formula unit
* E_tot: -4.67 eV per atom

Here is a geometry-optimized NaCuTe2OsSe structure from OQMD. Energies are from PBE.

CIF file:
```
data_NaCuTe2OsSe
_symmetry_space_group_name_H-M 'C m c m'
_symmetry_Int_Tables_number 63
_symmetry_space_group_name_Hall '-C 2c 2'
_cell_length_a 3.925
_cell_length_b 14.063
_cell_length_c 9.865
_cell_angle_alpha 90.00
_cell_angle_beta 90.00
_cell_angle_gamma 90.00
loop_
_atom_site_label
_atom_site_fract_x
_atom_site_fract_y
_atom_site_fract_z
Na1 0.000 0.247 0.250
Cu1 0.000 0.029 0.750
Te1 0.000 0.129 0.536
Os1 0.000 0.500 0.000
Se1 0.000 0.428 0.750
```

Computed properties:
* magnetic moment: 0.01 μB per formula unit
* E_tot: -4.43 eV per atom

Here is a geometry-optimized NaCu3Te4Os structure from OQMD. Energies are from PBE.

CIF file:
```
data_NaCu3Te4Os
_symmetry_space_group_name_H-M 'P -4 3 m'
_symmetry_Int_Tables_number 215
_symmetry_space_group_name_Hall 'P -4 2 3'
_cell_length_a 6.271
_cell_length_b 6.271
_cell_length_c 6.271
_cell_angle_alpha 90.00
_cell_angle_beta 90.00
_cell_angle_gamma 90.00
loop_
_atom_site_label
_atom_site_fract_x
_atom_site_fract_y
_atom_site_fract_z
Na1 0.000 0.000 0.000
Cu1 0.000 0.500 0.500
Te1 0.265 0.265 0.265
Os1 0.500 0.500 0.500
```

Computed properties:
* magnetic moment: 0.93 μB per formula unit
* E_tot: -3.92 eV per atom

Here is a geometry-optimized NaCuP2Pd structure from OQMD. Energies are from PBE.

CIF file:
```
data_NaCuP2Pd
_symmetry_space_group_name_H-M 'I -4 m 2'
_symmetry_Int_Tables_number 119
_symmetry_space_group_name_Hall 'I -4 -2'
_cell_length_a 4.053
_cell_length_b 4.053
_cell_length_c 9.611
_cell_angle_alpha 90.00
_cell_angle_beta 90.00
_cell_angle_gamma 90.00
loop_
_atom_site_label
_atom_site_fract_x
_atom_site_fract_y
_atom_site_fract_z
Na1 0.000 0.000 0.000
Cu1 0.000 0.500 0.250
P1 0.000 0.000 0.387
Pd1 0.000 0.500 0.750
```

Computed properties:
* E_tot: -4.60 eV per atom

Here is a geometry-optimized RbNa2Cu3P2 structure from OQMD. Energies are from PBE.

CIF file:
```
data_RbNa2Cu3P2
_symmetry_space_group_name_H-M 'R -3 m'
_symmetry_Int_Tables_number 166
_symmetry_space_group_name_Hall '-R 3 2"'
_cell_length_a 5.3605
_cell_length_b 5.3605
_cell_length_c 19.7134
_cell_angle_alpha 90.00
_cell_angle_beta 90.00
_cell_angle_gamma 120.00
loop_
_atom_site_label
_atom_site_fract_x
_atom_site_fract_y
_atom_site_fract_z
Rb1 0.0000 0.0000 0.0000
Na1 0.0000 0.0000 0.4111
Cu1 0.0000 0.5000 0.5000
P1 0.0000 0.0000 0.2502
```

Computed properties:
* E_tot: -3.53 eV per atom